Record 1
# ReBiSeN2 | Alexandria | GGA-PBE | optimized geometry
data_ReBiSeN2
_cell_length_a 3.992
_cell_length_b 3.992
_cell_length_c 5.282
_cell_angle_alpha 90.00
_cell_angle_beta 90.00
_cell_angle_gamma 90.00
_space_group_name_H-M_alt 'P 4/m m m'
_space_group_IT_number 123
_space_group_name_Hall '-P 4 2'
loop_
_atom_site_label
_atom_site_type_symbol
_atom_site_fract_x
_atom_site_fract_y
_atom_site_fract_z
_atom_site_occupancy
Re1 Re 0.000 0.000 0.000 1
Bi1 Bi 0.500 0.500 0.500 1
Se1 Se 0.000 0.000 0.500 1
N1 N 0.000 0.500 0.000 1
# - Excess energy over the best structure of this formula in the dataset: 0.000 eV/atom
# - Uncorrected formation energy: 274 kJ/mol of formula units
# - Total magnetic moment: 0.0 μB/f.u.

Record 2
# Na2Ti2O5 | Alexandria | GGA-PBE | optimized geometry
data_Na2Ti2O5
_cell_length_a 8.946
_cell_length_b 11.815
_cell_length_c 5.516
_cell_angle_alpha 90.00
_cell_angle_beta 90.00
_cell_angle_gamma 90.00
_space_group_name_H-M_alt 'P n a 21'
_space_group_IT_number 33
_space_group_name_Hall 'P 2c -2n'
loop_
_atom_site_label
_atom_site_type_symbol
_atom_site_fract_x
_atom_site_fract_y
_atom_site_fract_z
_atom_site_occupancy
Na1 Na 0.075 0.232 0.000 1
Na2 Na 0.189 0.694 0.920 1
Ti1 Ti 0.047 0.930 0.024 1
Ti2 Ti 0.107 0.517 0.403 1
O1 O 0.014 0.942 0.358 1
O2 O 0.045 0.191 0.419 1
O3 O 0.067 0.522 0.070 1
O4 O 0.164 0.652 0.493 1
O5 O 0.249 0.907 0.964 1
# - Uncorrected formation energy: -2271 kJ/mol of formula units
# - Total magnetic moment: 0.0 μB/f.u.

Record 3
# ZnW2Se | Alexandria | GGA-PBE | optimized geometry
data_ZnW2Se
_cell_length_a 3.837
_cell_length_b 3.837
_cell_length_c 9.008
_cell_angle_alpha 90.00
_cell_angle_beta 90.00
_cell_angle_gamma 90.00
_space_group_name_H-M_alt 'I 4/m m m'
_space_group_IT_number 139
_space_group_name_Hall '-I 4 2'
loop_
_atom_site_label
_atom_site_type_symbol
_atom_site_fract_x
_atom_site_fract_y
_atom_site_fract_z
_atom_site_occupancy
Zn1 Zn 0.000 0.000 0.000 1
W1 W 0.000 0.500 0.250 1
Se1 Se 0.000 0.000 0.500 1
# - Excess energy over the best structure of this formula in the dataset: 0.512 eV/atom
# - Uncorrected formation energy: 312 kJ/mol of formula units
# - Total magnetic moment: 0.0 μB/f.u.

Record 4
# LiSi | Alexandria | GGA-PBE | optimized geometry
data_LiSi
_cell_length_a 3.8113
_cell_length_b 3.8113
_cell_length_c 5.3854
_cell_angle_alpha 90.00
_cell_angle_beta 90.00
_cell_angle_gamma 120.00
_space_group_name_H-M_alt 'P -3 m 1'
_space_group_IT_number 164
_space_group_name_Hall '-P 3 2"'
loop_
_atom_site_label
_atom_site_type_symbol
_atom_site_fract_x
_atom_site_fract_y
_atom_site_fract_z
_atom_site_occupancy
Li1 Li 0.3333 0.6667 0.3699 1
Si1 Si 0.3333 0.6667 0.9021 1
# - Uncorrected formation energy: -30 kJ/mol of formula units
# - Total magnetic moment: 0.0 μB/f.u.